## Na2ZnNiO4 (PBE with a Hubbard U)

Data for a geometry-optimized Na2ZnNiO4 structure.

Cell lengths 5.249, 3.046, 5.598 Å; angles 90.00, 107.74, 90.00 degrees
Space group P2/m (No. 10)
Asymmetric unit:
Na 0.000 0.000 0.000 x1
Na 0.500 0.500 0.000 x1
Zn 0.000 0.500 0.500 x1
Ni 0.500 0.000 0.500 x1
O 0.255 0.000 0.697 x2
O 0.278 0.500 0.299 x2

Uncorrected energy in eV/atom: -4.4082
Theoretical density in g/cm³: 4.559